# 1
This record from the Alexandria database describes an optimized crystal structure of Nd4HgAu3. The functional is PBE.

```
data_Nd4HgAu3
_symmetry_space_group_name_H-M 'P m m 2'
_symmetry_Int_Tables_number 25
_symmetry_space_group_name_Hall 'P 2 -2'
_cell_length_a 3.927
_cell_length_b 4.852
_cell_length_c 11.404
_cell_angle_alpha 90.00
_cell_angle_beta 90.00
_cell_angle_gamma 90.00
loop_
_atom_site_label
_atom_site_type_symbol
_atom_site_fract_x
_atom_site_fract_y
_atom_site_fract_z
Nd1 Nd 0.000 0.000 0.000
Nd2 Nd 0.000 0.500 0.267
Nd3 Nd 0.500 0.000 0.487
Nd4 Nd 0.500 0.500 0.772
Hg1 Hg 0.000 0.000 0.717
Au1 Au 0.000 0.500 0.543
Au2 Au 0.500 0.000 0.217
Au3 Au 0.500 0.500 0.047
```

Results
Formation energy from the elements ... -0.70 eV per atom
Final energy ... -34.82 eV per cell


# 2
This record from the Alexandria database describes an optimized crystal structure of Nd8Hg2Au. The functional is PBE.

```
data_Nd8Hg2Au
_symmetry_space_group_name_H-M 'I m m m'
_symmetry_Int_Tables_number 71
_symmetry_space_group_name_Hall '-I 2 2'
_cell_length_a 5.210
_cell_length_b 8.751
_cell_length_c 14.779
_cell_angle_alpha 90.00
_cell_angle_beta 90.00
_cell_angle_gamma 90.00
loop_
_atom_site_label
_atom_site_type_symbol
_atom_site_fract_x
_atom_site_fract_y
_atom_site_fract_z
Nd1 Nd 0.000 0.000 0.128
Nd2 Nd 0.000 0.221 0.342
Nd3 Nd 0.000 0.326 0.000
Hg1 Hg 0.000 0.500 0.200
Au1 Au 0.000 0.500 0.500
```

Results
Offset from the most stable computed form ... 0.83 eV/f.u.
Formation energy from the elements ... -0.20 eV per atom
Final energy ... -88.53 eV per cell


# 3
This record from the Alexandria database describes an optimized crystal structure of NdHgAu2. The functional is PBE.

```
data_NdHgAu2
_symmetry_space_group_name_H-M 'P 4/m m m'
_symmetry_Int_Tables_number 123
_symmetry_space_group_name_Hall '-P 4 2'
_cell_length_a 3.758
_cell_length_b 3.758
_cell_length_c 6.666
_cell_angle_alpha 90.00
_cell_angle_beta 90.00
_cell_angle_gamma 90.00
loop_
_atom_site_label
_atom_site_type_symbol
_atom_site_fract_x
_atom_site_fract_y
_atom_site_fract_z
Nd1 Nd 0.000 0.000 0.000
Hg1 Hg 0.000 0.000 0.500
Au1 Au 0.500 0.500 0.254
```

Results
Formation energy from the elements ... -0.49 eV per atom
Final energy ... -13.58 eV per cell


# 4
This record from the Alexandria database describes an optimized crystal structure of Nd3Hg4Au4. The functional is PBE.

```
data_Nd3Hg4Au4
_symmetry_space_group_name_H-M 'P -1'
_symmetry_Int_Tables_number 2
_symmetry_space_group_name_Hall '-P 1'
_cell_length_a 3.579
_cell_length_b 4.760
_cell_length_c 15.818
_cell_angle_alpha 81.39
_cell_angle_beta 83.64
_cell_angle_gamma 89.99
loop_
_atom_site_label
_atom_site_type_symbol
_atom_site_fract_x
_atom_site_fract_y
_atom_site_fract_z
Nd1 Nd 0.000 0.000 0.000
Nd2 Nd 0.140 0.641 0.720
Hg1 Hg 0.264 0.265 0.470
Hg2 Hg 0.408 0.907 0.184
Au1 Au 0.319 0.817 0.365
Au2 Au 0.455 0.454 0.090
```

Results
Formation energy from the elements ... -0.51 eV per atom
Final energy ... -34.18 eV per cell


# 5
This record from the Alexandria database describes an optimized crystal structure of Nd7Hg2Au2. The functional is PBE.

```
data_Nd7Hg2Au2
_symmetry_space_group_name_H-M 'C m m m'
_symmetry_Int_Tables_number 65
_symmetry_space_group_name_Hall '-C 2 2'
_cell_length_a 8.242
_cell_length_b 11.378
_cell_length_c 7.568
_cell_angle_alpha 90.00
_cell_angle_beta 90.00
_cell_angle_gamma 90.00
loop_
_atom_site_label
_atom_site_type_symbol
_atom_site_fract_x
_atom_site_fract_y
_atom_site_fract_z
Nd1 Nd 0.000 0.000 0.000
Nd2 Nd 0.000 0.500 0.259
Nd3 Nd 0.250 0.250 0.271
Hg1 Hg 0.175 0.000 0.500
Au1 Au 0.000 0.292 0.000
```

Results
Formation energy from the elements ... -0.26 eV per atom
Final energy ... -86.79 eV per cell


# 6
This record from the Alexandria database describes an optimized crystal structure of Nd3HgAu4. The functional is PBE.

```
data_Nd3HgAu4
_symmetry_space_group_name_H-M 'I m m m'
_symmetry_Int_Tables_number 71
_symmetry_space_group_name_Hall '-I 2 2'
_cell_length_a 4.022
_cell_length_b 7.279
_cell_length_c 14.703
_cell_angle_alpha 90.00
_cell_angle_beta 90.00
_cell_angle_gamma 90.00
loop_
_atom_site_label
_atom_site_type_symbol
_atom_site_fract_x
_atom_site_fract_y
_atom_site_fract_z
Nd1 Nd 0.000 0.000 0.000
Nd2 Nd 0.000 0.500 0.185
Hg1 Hg 0.000 0.000 0.500
Au1 Au 0.000 0.304 0.367
```

Results
Offset from the most stable computed form ... 0.33 eV/f.u.
Formation energy from the elements ... -0.61 eV per atom
Final energy ... -65.24 eV per cell


# 7
This record from the Alexandria database describes an optimized crystal structure of Nd3HgAu4. The functional is PBE.

```
data_Nd3HgAu4
_symmetry_space_group_name_H-M 'P 4/m m m'
_symmetry_Int_Tables_number 123
_symmetry_space_group_name_Hall '-P 4 2'
_cell_length_a 5.098
_cell_length_b 5.098
_cell_length_c 7.536
_cell_angle_alpha 90.00
_cell_angle_beta 90.00
_cell_angle_gamma 90.00
loop_
_atom_site_label
_atom_site_type_symbol
_atom_site_fract_x
_atom_site_fract_y
_atom_site_fract_z
Nd1 Nd 0.000 0.000 0.000
Nd2 Nd 0.000 0.000 0.500
Nd3 Nd 0.500 0.500 0.000
Hg1 Hg 0.500 0.500 0.500
Au1 Au 0.000 0.500 0.245
```

Results
Offset from the most stable computed form ... 0.00 eV/f.u.
Formation energy from the elements ... -0.65 eV per atom
Final energy ... -32.95 eV per cell


# 8
This record from the Alexandria database describes an optimized crystal structure of Nd2HgAuO5. The functional is PBE.

```
data_Nd2HgAuO5
_symmetry_space_group_name_H-M 'P 4/m b m'
_symmetry_Int_Tables_number 127
_symmetry_space_group_name_Hall '-P 4 2ab'
_cell_length_a 6.976
_cell_length_b 6.976
_cell_length_c 5.838
_cell_angle_alpha 90.00
_cell_angle_beta 90.00
_cell_angle_gamma 90.00
loop_
_atom_site_label
_atom_site_type_symbol
_atom_site_fract_x
_atom_site_fract_y
_atom_site_fract_z
Nd1 Nd 0.176 0.324 0.000
Hg1 Hg 0.000 0.000 0.500
Au1 Au 0.000 0.500 0.500
O1 O 0.000 0.000 0.000
O2 O 0.131 0.631 0.235
```

Results
Final energy ... -108.34 eV per cell


# 9
This record from the Alexandria database describes an optimized crystal structure of NdHgAuO4. The functional is PBE.

```
data_NdHgAuO4
_symmetry_space_group_name_H-M 'I m m a'
_symmetry_Int_Tables_number 74
_symmetry_space_group_name_Hall '-I 2b 2'
_cell_length_a 6.589
_cell_length_b 7.537
_cell_length_c 10.448
_cell_angle_alpha 90.00
_cell_angle_beta 90.00
_cell_angle_gamma 90.00
loop_
_atom_site_label
_atom_site_type_symbol
_atom_site_fract_x
_atom_site_fract_y
_atom_site_fract_z
Nd1 Nd 0.000 0.000 0.000
Hg1 Hg 0.000 0.250 0.438
Au1 Au 0.250 0.250 0.750
O1 O 0.000 0.082 0.769
O2 O 0.200 0.250 0.048
```

Results
Final energy ... -147.80 eV per cell


# 10
This record from the Alexandria database describes an optimized crystal structure of NdPaHgAu. The functional is PBE.

```
data_NdPaHgAu
_symmetry_space_group_name_H-M 'F -4 3 m'
_symmetry_Int_Tables_number 216
_symmetry_space_group_name_Hall 'F -4 2 3'
_cell_length_a 7.449
_cell_length_b 7.449
_cell_length_c 7.449
_cell_angle_alpha 90.00
_cell_angle_beta 90.00
_cell_angle_gamma 90.00
loop_
_atom_site_label
_atom_site_type_symbol
_atom_site_fract_x
_atom_site_fract_y
_atom_site_fract_z
Nd1 Nd 0.000 0.000 0.000
Pa1 Pa 0.000 0.000 0.500
Hg1 Hg 0.250 0.250 0.250
Au1 Au 0.250 0.250 0.750
```

Results
Formation energy from the elements ... -0.19 eV per atom
Final energy ... -74.37 eV per cell


# 11
This record from the Alexandria database describes an optimized crystal structure of NdHgPbAu. The functional is PBE.

```
data_NdHgPbAu
_symmetry_space_group_name_H-M 'F -4 3 m'
_symmetry_Int_Tables_number 216
_symmetry_space_group_name_Hall 'F -4 2 3'
_cell_length_a 7.411
_cell_length_b 7.411
_cell_length_c 7.411
_cell_angle_alpha 90.00
_cell_angle_beta 90.00
_cell_angle_gamma 90.00
loop_
_atom_site_label
_atom_site_type_symbol
_atom_site_fract_x
_atom_site_fract_y
_atom_site_fract_z
Nd1 Nd 0.000 0.000 0.000
Hg1 Hg 0.250 0.250 0.750
Pb1 Pb 0.000 0.000 0.500
Au1 Au 0.250 0.250 0.250
```

Results
Offset from the most stable computed form ... 0.02 eV/f.u.
Formation energy from the elements ... -0.48 eV per atom
Final energy ... -55.83 eV per cell


# 12
This record from the Alexandria database describes an optimized crystal structure of NdHgPbAu. The functional is PBE.

```
data_NdHgPbAu
_symmetry_space_group_name_H-M 'I -4 m 2'
_symmetry_Int_Tables_number 119
_symmetry_space_group_name_Hall 'I -4 -2'
_cell_length_a 4.948
_cell_length_b 4.948
_cell_length_c 8.319
_cell_angle_alpha 90.00
_cell_angle_beta 90.00
_cell_angle_gamma 90.00
loop_
_atom_site_label
_atom_site_type_symbol
_atom_site_fract_x
_atom_site_fract_y
_atom_site_fract_z
Nd1 Nd 0.000 0.000 0.000
Hg1 Hg 0.000 0.500 0.750
Pb1 Pb 0.000 0.000 0.500
Au1 Au 0.000 0.500 0.250
```

Results
Offset from the most stable computed form ... 0.00 eV/f.u.
Formation energy from the elements ... -0.48 eV per atom
Final energy ... -27.96 eV per cell


Number 1: total magnetic moment 0.00 μB per formula unit. Number 2: total magnetic moment 0.00 μB per formula unit. Number 3: total magnetic moment 0.00 μB per formula unit. Number 4: total magnetic moment 0.00 μB per formula unit. Number 5: total magnetic moment 0.00 μB per formula unit. Number 6: total magnetic moment 0.00 μB per formula unit. Number 7: total magnetic moment 0.00 μB per formula unit. Number 8: total magnetic moment 0.00 μB per formula unit. Number 9: total magnetic moment 0.00 μB per formula unit. Number 10: total magnetic moment 1.98 μB per formula unit. Number 11: total magnetic moment 0.00 μB per formula unit. Number 12: total magnetic moment 0.00 μB per formula unit.